First-principles (PBE-GGA) data for crystalline Mn2PbAu at its relaxed geometry, as listed in Alexandria via LeMat-Bulk.

Electronic total energy = -6.045 eV/atom
Space group = P4mm (99)
Formation energy from the elements = 0.286 eV per atom
N(E_F) = 2.3 states/eV/cell

abc: 3.2438 3.2438 7.2551
angles: 90.00 90.00 90.00
Fractional coordinates of all 4 atoms:
Au1 0.5000 0.5000 0.8008
Mn1 0.0000 0.0000 0.0047
Mn2 0.5000 0.5000 0.2106
Pb1 0.0000 0.0000 0.4839

First-principles (PBE-GGA) data for crystalline MnPb2Au at its relaxed geometry, as listed in Alexandria via LeMat-Bulk.

Electronic total energy = -4.601 eV/atom
Energy above the most stable polymorph in this dataset = 0.280 eV per atom
Space group = F-43m (216)
Formation energy from the elements = 0.364 eV per atom
N(E_F) = 3.1 states/eV/cell

abc: 5.1503 5.1503 5.1503
angles: 60.00 60.00 60.00
Fractional coordinates of all 4 atoms:
Au1 0.5000 0.5000 0.5000
Mn1 0.7500 0.7500 0.7500
Pb1 0.0000 0.0000 0.0000
Pb2 0.2500 0.2500 0.2500

First-principles (PBE-GGA) data for crystalline Mn2PbAu at its relaxed geometry, as listed in Alexandria via LeMat-Bulk.

Electronic total energy = -6.084 eV/atom
Space group = P4/mmm (123)
Formation energy from the elements = 0.247 eV per atom
N(E_F) = 2.3 states/eV/cell

abc: 3.3793 3.3793 6.7872
angles: 90.00 90.00 90.00
Fractional coordinates of all 4 atoms:
Au1 0.5000 0.5000 0.7500
Mn1 0.0000 0.0000 0.9629
Mn2 0.0000 0.0000 0.5371
Pb1 0.5000 0.5000 0.2500

First-principles (PBE-GGA) data for crystalline MnPb3Au at its relaxed geometry, as listed in Alexandria via LeMat-Bulk.

Electronic total energy = -4.386 eV/atom
Energy above the most stable polymorph in this dataset = 0.000 eV per atom
Space group = Pm-3m (221)
Formation energy from the elements = 0.328 eV per atom
N(E_F) = 0.0 states/eV/cell

abc: 5.1032 5.1032 5.1032
angles: 90.00 90.00 90.00
Fractional coordinates of all 5 atoms:
Pb1 0.0000 0.5000 0.0000
Pb2 0.0000 0.0000 0.5000
Pb3 0.5000 0.0000 0.0000
Mn1 0.0000 0.0000 0.0000
Au1 0.5000 0.5000 0.5000

First-principles (PBE-GGA) data for crystalline MnPb2Au at its relaxed geometry, as listed in Alexandria via LeMat-Bulk.

Electronic total energy = -4.679 eV/atom
Energy above the most stable polymorph in this dataset = 0.202 eV per atom
Space group = P4/mmm (123)
Formation energy from the elements = 0.287 eV per atom
N(E_F) = 2.9 states/eV/cell

abc: 3.7810 3.7810 6.5201
angles: 90.00 90.00 90.00
Fractional coordinates of all 4 atoms:
Au1 0.5000 0.5000 0.2500
Mn1 0.5000 0.5000 0.7500
Pb1 0.0000 0.0000 0.9978
Pb2 0.0000 0.0000 0.5022

First-principles (PBE-GGA) data for crystalline MnPb2Au at its relaxed geometry, as listed in Alexandria via LeMat-Bulk.

Electronic total energy = -4.881 eV/atom
Energy above the most stable polymorph in this dataset = 0.000 eV per atom
Space group = P4mm (99)
Formation energy from the elements = 0.085 eV per atom
N(E_F) = 1.9 states/eV/cell

abc: 3.3766 3.3766 8.4292
angles: 90.00 90.00 90.00
Fractional coordinates of all 4 atoms:
Au1 0.0000 0.0000 0.5489
Mn1 0.5000 0.5000 0.7063
Pb1 0.0000 0.0000 0.9443
Pb2 0.5000 0.5000 0.3006

First-principles (PBE-GGA) data for crystalline MnPb2Au at its relaxed geometry, as listed in Alexandria via LeMat-Bulk.

Electronic total energy = -4.793 eV/atom
Energy above the most stable polymorph in this dataset = 0.088 eV per atom
Space group = R3m (160)
Formation energy from the elements = 0.173 eV per atom
N(E_F) = 2.6 states/eV/cell

abc: 10.0329 10.0329 10.0329
angles: 19.51 19.51 19.51
Fractional coordinates of all 4 atoms:
Au1 0.4878 0.4878 0.4878
Mn1 0.7608 0.7608 0.7608
Pb1 0.0149 0.0149 0.0149
Pb2 0.2365 0.2365 0.2365

First-principles (PBE-GGA) data for crystalline MnPb2Au at its relaxed geometry, as listed in Alexandria via LeMat-Bulk.

Electronic total energy = -4.664 eV/atom
Energy above the most stable polymorph in this dataset = 0.217 eV per atom
Space group = Fm-3m (225)
Formation energy from the elements = 0.301 eV per atom
N(E_F) = 3.4 states/eV/cell

abc: 5.1077 5.1077 5.1077
angles: 60.00 60.00 60.00
Fractional coordinates of all 4 atoms:
Pb1 0.2500 0.2500 0.2500
Pb2 0.7500 0.7500 0.7500
Mn1 0.0000 0.0000 0.0000
Au1 0.5000 0.5000 0.5000

First-principles (PBE-GGA) data for crystalline MnPb2Au at its relaxed geometry, as listed in Alexandria via LeMat-Bulk.

Electronic total energy = -4.733 eV/atom
Energy above the most stable polymorph in this dataset = 0.148 eV per atom
Space group = P4/mmm (123)
Formation energy from the elements = 0.233 eV per atom
N(E_F) = 2.7 states/eV/cell

abc: 5.1227 5.1270 3.5257
angles: 90.00 90.00 90.00
Fractional coordinates of all 4 atoms:
Au1 0.5000 0.0000 0.5000
Mn1 0.0000 0.5000 0.5000
Pb1 0.0000 0.0000 0.0000
Pb2 0.5000 0.5000 0.0000

First-principles (PBE-GGA) data for crystalline MnPb2Au at its relaxed geometry, as listed in Alexandria via LeMat-Bulk.

Electronic total energy = -4.630 eV/atom
Energy above the most stable polymorph in this dataset = 0.251 eV per atom
Space group = R-3m (166)
Formation energy from the elements = 0.336 eV per atom
N(E_F) = 2.6 states/eV/cell

abc: 9.2193 9.2193 9.2193
angles: 21.79 21.79 21.79
Fractional coordinates of all 4 atoms:
Au1 0.2500 0.2500 0.2500
Mn1 0.7500 0.7500 0.7500
Pb1 0.0010 0.0010 0.0010
Pb2 0.4990 0.4990 0.4990

First-principles (PBE-GGA) data for crystalline Mn2PbAu at its relaxed geometry, as listed in Alexandria via LeMat-Bulk.

Electronic total energy = -6.055 eV/atom
Space group = P4/mmm (123)
Formation energy from the elements = 0.277 eV per atom
N(E_F) = 4.0 states/eV/cell

abc: 4.3138 4.3138 3.9643
angles: 90.00 90.00 90.04
Fractional coordinates of all 4 atoms:
Au1 0.0000 0.5000 0.5000
Mn1 0.0000 0.0000 0.0000
Mn2 0.5000 0.5000 0.0000
Pb1 0.5000 0.0000 0.5000

First-principles (PBE-GGA) data for crystalline Mn2PbAu at its relaxed geometry, as listed in Alexandria via LeMat-Bulk.

Electronic total energy = -5.986 eV/atom
Space group = R-3m (166)
Formation energy from the elements = 0.345 eV per atom
N(E_F) = 1.8 states/eV/cell

abc: 8.6041 8.6041 8.6041
angles: 22.27 22.27 22.27
Fractional coordinates of all 4 atoms:
Au1 0.7500 0.7500 0.7500
Mn1 0.0079 0.0079 0.0079
Mn2 0.4921 0.4921 0.4921
Pb1 0.2500 0.2500 0.2500

First-principles (PBE-GGA) data for crystalline Mn2PbAu at its relaxed geometry, as listed in Alexandria via LeMat-Bulk.

Electronic total energy = -5.898 eV/atom
Space group = F-43m (216)
Formation energy from the elements = 0.433 eV per atom
N(E_F) = 4.8 states/eV/cell

abc: 4.7602 4.7602 4.7602
angles: 60.00 60.00 60.00
Fractional coordinates of all 4 atoms:
Au1 0.5000 0.5000 0.5000
Mn1 0.0000 0.0000 0.0000
Mn2 0.2500 0.2500 0.2500
Pb1 0.7500 0.7500 0.7500

First-principles (PBE-GGA) data for crystalline Mn2PbAu at its relaxed geometry, as listed in Alexandria via LeMat-Bulk.

Electronic total energy = -6.031 eV/atom
Space group = Pmm2 (25)
Formation energy from the elements = 0.300 eV per atom
N(E_F) = 3.7 states/eV/cell

abc: 4.6533 3.2452 4.9630
angles: 90.04 90.00 90.00
Fractional coordinates of all 4 atoms:
Au1 0.5000 0.6249 0.8324
Mn1 0.0000 0.1253 0.9394
Mn2 0.5000 0.1247 0.2942
Pb1 0.0000 0.6250 0.4340

First-principles (PBE-GGA) data for crystalline Mn2PbAu at its relaxed geometry, as listed in Alexandria via LeMat-Bulk.

Electronic total energy = -5.861 eV/atom
Space group = I-42d (122)
Formation energy from the elements = 0.471 eV per atom
N(E_F) = 6.6 states/eV/cell

abc: 7.4523 7.4523 6.0468
angles: 51.96 51.96 90.00
Fractional coordinates of all 8 atoms:
Pb1 0.0000 0.0000 0.0000
Pb2 0.7500 0.2500 0.5000
Mn1 0.6018 0.1250 0.2500
Mn2 0.1482 0.6250 0.2500
Mn3 0.3750 0.3982 0.7500
Mn4 0.8750 0.8518 0.7500
Au1 0.5000 0.5000 0.0000
Au2 0.2500 0.7500 0.5000

First-principles (PBE-GGA) data for crystalline Mn2PbAu2 at its relaxed geometry, as listed in Alexandria via LeMat-Bulk.

Electronic total energy = -5.601 eV/atom
Space group = P4/mbm (127)
Formation energy from the elements = 0.119 eV per atom
N(E_F) = 6.0 states/eV/cell

abc: 7.8314 7.8314 3.1543
angles: 90.00 90.00 90.00
Fractional coordinates of all 10 atoms:
Pb1 0.0000 0.0000 0.0000
Pb2 0.5000 0.5000 0.0000
Mn1 0.3555 0.8555 0.0000
Mn2 0.8555 0.6445 0.0000
Mn3 0.6445 0.1445 0.0000
Mn4 0.1445 0.3555 0.0000
Au1 0.1462 0.6462 0.5000
Au2 0.6462 0.8538 0.5000
Au3 0.8538 0.3538 0.5000
Au4 0.3538 0.1462 0.5000

First-principles (PBE-GGA) data for crystalline MnPb2Au at its relaxed geometry, as listed in Alexandria via LeMat-Bulk.

Electronic total energy = -4.673 eV/atom
Energy above the most stable polymorph in this dataset = 0.209 eV per atom
Space group = Fmmm (69)
Formation energy from the elements = 0.293 eV per atom
N(E_F) = 2.8 states/eV/cell

abc: 5.4285 5.4285 5.4508
angles: 129.19 129.19 74.40
Fractional coordinates of all 4 atoms:
Au1 0.7500 0.2500 0.5000
Mn1 0.2500 0.7500 0.5000
Pb1 0.0003 0.0003 0.0000
Pb2 0.4997 0.4997 0.0000

First-principles (PBE-GGA) data for crystalline MnPb2Au at its relaxed geometry, as listed in Alexandria via LeMat-Bulk.

Electronic total energy = -4.677 eV/atom
Energy above the most stable polymorph in this dataset = 0.204 eV per atom
Space group = Cmmm (65)
Formation energy from the elements = 0.288 eV per atom
N(E_F) = 2.4 states/eV/cell

abc: 3.5914 3.5914 7.2631
angles: 90.00 90.00 97.09
Fractional coordinates of all 4 atoms:
Au1 0.5000 0.5000 0.2500
Mn1 0.5000 0.5000 0.7500
Pb1 0.0000 0.0000 0.9947
Pb2 0.0000 0.0000 0.5053

First-principles (PBE-GGA) data for crystalline MnPb2Au at its relaxed geometry, as listed in Alexandria via LeMat-Bulk.

Electronic total energy = -4.713 eV/atom
Energy above the most stable polymorph in this dataset = 0.168 eV per atom
Space group = P2/m (10)
Formation energy from the elements = 0.253 eV per atom
N(E_F) = 1.6 states/eV/cell

abc: 3.6023 5.9649 6.0193
angles: 47.45 90.00 90.00
Fractional coordinates of all 4 atoms:
Au1 0.5000 0.5000 0.5000
Mn1 0.0000 0.0000 0.5000
Pb1 0.0000 0.0000 0.0000
Pb2 0.5000 0.5000 0.0000

First-principles (PBE-GGA) data for crystalline MnPb2Au at its relaxed geometry, as listed in Alexandria via LeMat-Bulk.

Electronic total energy = -4.609 eV/atom
Energy above the most stable polymorph in this dataset = 0.272 eV per atom
Space group = I-42d (122)
Formation energy from the elements = 0.357 eV per atom
N(E_F) = 2.2 states/eV/cell

abc: 4.6348 4.6348 10.0486
angles: 76.67 76.67 90.00
Fractional coordinates of all 8 atoms:
Pb1 0.6181 0.1250 0.2500
Pb2 0.1319 0.6250 0.2500
Pb3 0.3750 0.3819 0.7500
Pb4 0.8750 0.8681 0.7500
Mn1 0.5000 0.5000 0.0000
Mn2 0.2500 0.7500 0.5000
Au1 0.0000 0.0000 0.0000
Au2 0.7500 0.2500 0.5000

First-principles (PBE-GGA) data for crystalline Mn2PbAu at its relaxed geometry, as listed in Alexandria via LeMat-Bulk.

Electronic total energy = -6.034 eV/atom
Space group = Cm (8)
Formation energy from the elements = 0.297 eV per atom
N(E_F) = 2.8 states/eV/cell

abc: 5.6951 5.6951 4.4784
angles: 65.00 65.00 35.10
Fractional coordinates of all 4 atoms:
Au1 0.2655 0.2655 0.2382
Mn1 0.9933 0.9933 0.0060
Mn2 0.7351 0.7351 0.7641
Pb1 0.5062 0.5062 0.4917

First-principles (PBE-GGA) data for crystalline MnPb2Au at its relaxed geometry, as listed in Alexandria via LeMat-Bulk.

Electronic total energy = -4.792 eV/atom
Energy above the most stable polymorph in this dataset = 0.089 eV per atom
Space group = Cm (8)
Formation energy from the elements = 0.174 eV per atom
N(E_F) = 2.3 states/eV/cell

abc: 5.9033 5.9033 5.2810
angles: 70.34 70.34 32.94
Fractional coordinates of all 4 atoms:
Au1 0.5359 0.5359 0.5120
Mn1 0.2235 0.2235 0.2234
Pb1 0.9744 0.9744 0.0589
Pb2 0.7662 0.7662 0.7057

First-principles (PBE-GGA) data for crystalline MnPb2Au at its relaxed geometry, as listed in Alexandria via LeMat-Bulk.

Electronic total energy = -4.657 eV/atom
Energy above the most stable polymorph in this dataset = 0.224 eV per atom
Space group = C2/m (12)
Formation energy from the elements = 0.309 eV per atom
N(E_F) = 2.2 states/eV/cell

abc: 4.8892 4.8892 5.9813
angles: 78.48 78.48 43.21
Fractional coordinates of all 4 atoms:
Au1 0.7500 0.7500 0.7500
Mn1 0.2500 0.2500 0.2500
Pb1 0.0013 0.0013 0.0054
Pb2 0.4987 0.4987 0.4946

First-principles (PBE-GGA) data for crystalline MnPb4Au at its relaxed geometry, as listed in Alexandria via LeMat-Bulk.

Electronic total energy = -3.952 eV/atom
Space group = F-43m (216)
Formation energy from the elements = 0.595 eV per atom
N(E_F) = 4.4 states/eV/cell

abc: 6.3332 6.3332 6.3332
angles: 60.00 60.00 60.00
Fractional coordinates of all 6 atoms:
Mn1 0.0000 0.0000 0.0000
Pb1 0.8754 0.3749 0.3749
Pb2 0.3749 0.3749 0.8754
Pb3 0.3749 0.8754 0.3749
Pb4 0.3749 0.3749 0.3749
Au1 0.7500 0.7500 0.7500

First-principles (PBE-GGA) data for crystalline Mn2PbAu at its relaxed geometry, as listed in Alexandria via LeMat-Bulk.

Electronic total energy = -6.013 eV/atom
Space group = C2/m (12)
Formation energy from the elements = 0.319 eV per atom
N(E_F) = 2.6 states/eV/cell

abc: 4.7634 4.7634 5.5386
angles: 77.77 77.77 40.13
Fractional coordinates of all 4 atoms:
Au1 0.2500 0.2500 0.2500
Mn1 0.9925 0.9925 0.0379
Mn2 0.5075 0.5075 0.4621
Pb1 0.7500 0.7500 0.7500

First-principles (PBE-GGA) data for crystalline MnPb2Au at its relaxed geometry, as listed in Alexandria via LeMat-Bulk.

Electronic total energy = -4.832 eV/atom
Energy above the most stable polymorph in this dataset = 0.049 eV per atom
Space group = Pm (6)
Formation energy from the elements = 0.134 eV per atom
N(E_F) = 2.3 states/eV/cell

abc: 4.4519 3.8246 5.8536
angles: 70.71 90.00 90.00
Fractional coordinates of all 4 atoms:
Au1 0.0000 0.6954 0.4837
Mn1 0.5000 0.5503 0.7765
Pb1 0.0000 0.9758 0.9226
Pb2 0.5000 0.2786 0.3172

First-principles (PBE-GGA) data for crystalline Mn4PbAu at its relaxed geometry, as listed in Alexandria via LeMat-Bulk.

Electronic total energy = -6.809 eV/atom
Space group = F-43m (216)
Formation energy from the elements = 0.468 eV per atom
N(E_F) = 6.1 states/eV/cell

abc: 5.1188 5.1188 5.1188
angles: 60.00 60.00 60.00
Fractional coordinates of all 6 atoms:
Mn1 0.8749 0.3750 0.3750
Mn2 0.3750 0.3750 0.8749
Mn3 0.3750 0.8749 0.3750
Mn4 0.3750 0.3750 0.3750
Pb1 0.7500 0.7500 0.7500
Au1 0.0000 0.0000 0.0000

First-principles (PBE-GGA) data for crystalline MnPb2Au at its relaxed geometry, as listed in Alexandria via LeMat-Bulk.

Electronic total energy = -4.700 eV/atom
Energy above the most stable polymorph in this dataset = 0.181 eV per atom
Space group = I-4m2 (119)
Formation energy from the elements = 0.266 eV per atom
N(E_F) = 2.2 states/eV/cell

abc: 5.8053 5.8053 5.8053
angles: 136.06 136.06 63.88
Fractional coordinates of all 4 atoms:
Au1 0.5000 0.5000 0.0000
Mn1 0.7500 0.2500 0.5000
Pb1 0.0000 0.0000 0.0000
Pb2 0.2500 0.7500 0.5000

First-principles (PBE-GGA) data for crystalline MnPd2PbAu at its relaxed geometry, as listed in Alexandria via LeMat-Bulk.

Electronic total energy = -4.671 eV/atom
Space group = P4/mmm (123)
Formation energy from the elements = 0.637 eV per atom
N(E_F) = 2.8 states/eV/cell

abc: 5.0775 4.7938 5.0775
angles: 90.00 90.00 90.00
Fractional coordinates of all 5 atoms:
Pb1 0.5000 0.5000 0.5000
Mn1 0.0000 0.5000 0.0000
Au1 0.0000 0.0000 0.0000
Pd1 0.0000 0.0000 0.5000
Pd2 0.5000 0.0000 0.0000